# 1
Tb5Pr2Tm5 (PBE, relaxed); M_tot = 0.0000 μB per atom; DFT total energy = -4.566 eV per atom; crystal system = monoclinic
1.0
7.5498 -2.5125 0.0000
7.5498 2.5125 0.0000
-5.0302 0.0000 10.0529
Tb Pr Tm
5 2 5
direct
0.0000 0.0000 0.0000 Tb
0.0853 0.0853 0.7506 Tb
0.1659 0.1659 0.4997 Tb
0.8341 0.8341 0.5003 Tb
0.9147 0.9147 0.2494 Tb
0.4171 0.4171 0.7516 Pr
0.5829 0.5829 0.2484 Pr
0.2514 0.2514 0.2499 Tm
0.3314 0.3314 0.9996 Tm
0.5000 0.5000 0.5000 Tm
0.6686 0.6686 0.0004 Tm
0.7486 0.7486 0.7501 Tm



# 2
Tb7Pr12Tm (PBE, relaxed); M_tot = 0.0000 μB per atom; DFT total energy = -4.499 eV per atom; crystal system = trigonal
1.0
9.8671 5.6968 2.1001
-9.8671 5.6968 2.1001
0.0000 -11.3936 2.1001
Tb Pr Tm
7 12 1
direct
0.0000 0.0000 0.0000 Tb
0.1325 0.3771 0.3776 Tb
0.3771 0.3776 0.1325 Tb
0.3776 0.1325 0.3771 Tb
0.6224 0.8675 0.6229 Tb
0.6229 0.6224 0.8675 Tb
0.8675 0.6229 0.6224 Tb
0.0011 0.5893 0.4124 Pr
0.0824 0.0818 0.4350 Pr
0.0818 0.4350 0.0824 Pr
0.4107 0.5876 0.9989 Pr
0.4124 0.0011 0.5893 Pr
0.4350 0.0824 0.0818 Pr
0.5650 0.9176 0.9182 Pr
0.5876 0.9989 0.4107 Pr
0.5893 0.4124 0.0011 Pr
0.9182 0.5650 0.9176 Pr
0.9176 0.9182 0.5650 Pr
0.9989 0.4107 0.5876 Pr
0.5000 0.5000 0.5000 Tm



# 3
TbPr12Tm2 (PBE, relaxed); M_tot = 0.0000 μB per atom; DFT total energy = -4.572 eV per atom; crystal system = orthorhombic
1.0
3.6201 -5.8584 0.0000
3.6201 5.8584 0.0000
0.0000 0.0000 25.1848
Tb Pr Tm
2 24 4
direct
0.2500 0.7500 0.9990 Tb
0.7500 0.2500 0.0010 Tb
0.0015 0.5015 0.8689 Pr
0.0022 0.9978 0.0730 Pr
0.0190 0.5190 0.4135 Pr
0.0237 0.9763 0.5604 Pr
0.2500 0.2500 0.1982 Pr
0.2500 0.2500 0.3234 Pr
0.2500 0.2500 0.6766 Pr
0.2500 0.2500 0.8018 Pr
0.4763 0.5237 0.5604 Pr
0.4810 0.9810 0.4135 Pr
0.4978 0.5022 0.0730 Pr
0.4985 0.9985 0.8689 Pr
0.5015 0.0015 0.1311 Pr
0.5022 0.4978 0.9270 Pr
0.5190 0.0190 0.5865 Pr
0.5237 0.4763 0.4396 Pr
0.7500 0.7500 0.1982 Pr
0.7500 0.7500 0.3234 Pr
0.7500 0.7500 0.6766 Pr
0.7500 0.7500 0.8018 Pr
0.9763 0.0237 0.4396 Pr
0.9810 0.4810 0.5865 Pr
0.9978 0.0022 0.9270 Pr
0.9985 0.4985 0.1311 Pr
0.2500 0.7500 0.2668 Tm
0.2500 0.7500 0.7301 Tm
0.7500 0.2500 0.2699 Tm
0.7500 0.2500 0.7332 Tm



# 4
TbPr12Tm7 (PBE, relaxed); M_tot = 0.0000 μB per atom; DFT total energy = -4.436 eV per atom; crystal system = trigonal
1.0
9.8421 5.6824 2.0846
-9.8421 5.6824 2.0846
0.0000 -11.3647 2.0846
Tb Pr Tm
1 12 7
direct
0.0000 0.0000 0.0000 Tb
0.0668 0.4193 0.4183 Pr
0.0872 0.9113 0.4988 Pr
0.0887 0.5012 0.9128 Pr
0.4183 0.0668 0.4193 Pr
0.4193 0.4183 0.0668 Pr
0.4988 0.0872 0.9113 Pr
0.5012 0.9128 0.0887 Pr
0.5807 0.5817 0.9332 Pr
0.5817 0.9332 0.5807 Pr
0.9113 0.4988 0.0872 Pr
0.9128 0.0887 0.5012 Pr
0.9332 0.5807 0.5817 Pr
0.1227 0.1237 0.3665 Tm
0.1237 0.3665 0.1227 Tm
0.3665 0.1227 0.1237 Tm
0.5000 0.5000 0.5000 Tm
0.6335 0.8773 0.8763 Tm
0.8763 0.6335 0.8773 Tm
0.8773 0.8763 0.6335 Tm



# 5
Tb6PrTm (PBE, relaxed); M_tot = 0.0000 μB per atom; DFT total energy = -4.606 eV per atom; crystal system = tetragonal
1.0
5.0542 0.0000 0.0000
0.0000 5.0542 0.0000
0.0000 0.0000 10.0868
Tb Pr Tm
6 1 1
direct
0.0000 0.0000 0.0000 Tb
0.0000 0.0000 0.5000 Tb
0.0000 0.5000 0.2462 Tb
0.0000 0.5000 0.7538 Tb
0.5000 0.0000 0.2462 Tb
0.5000 0.0000 0.7538 Tb
0.5000 0.5000 0.5000 Pr
0.5000 0.5000 0.0000 Tm



# 6
TbPr3Tm5 (PBE, relaxed); M_tot = 0.0000 μB per atom; DFT total energy = -4.059 eV per atom; crystal system = monoclinic
1.0
7.7157 -5.5704 0.0000
7.7157 5.5704 0.0000
-6.5880 0.0000 7.6545
Tb Pr Tm
2 6 10
direct
0.2474 0.2474 0.0991 Tb
0.7526 0.7526 0.9009 Tb
0.0000 0.0000 0.0000 Pr
0.0298 0.0298 0.6901 Pr
0.4892 0.4892 0.7840 Pr
0.5000 0.5000 0.5000 Pr
0.5108 0.5108 0.2160 Pr
0.9702 0.9702 0.3099 Pr
0.0853 0.5888 0.4313 Tm
0.2198 0.2198 0.4102 Tm
0.2601 0.7399 0.0000 Tm
0.2889 0.2889 0.8006 Tm
0.4112 0.9147 0.5687 Tm
0.5888 0.0853 0.4313 Tm
0.7111 0.7111 0.1994 Tm
0.7399 0.2601 0.0000 Tm
0.7802 0.7802 0.5898 Tm
0.9147 0.4112 0.5687 Tm



# 7
Tb7Pr2Tm4 (PBE, relaxed); M_tot = 0.0000 μB per atom; DFT total energy = -4.407 eV per atom; crystal system = trigonal
1.0
6.0898 0.0000 0.0000
-3.0449 5.2739 0.0000
0.0000 0.0000 13.2354
Tb Pr Tm
7 2 4
direct
0.0000 0.0000 0.0000 Tb
0.0000 0.3583 0.2208 Tb
0.0000 0.6417 0.7792 Tb
0.3583 0.0000 0.2208 Tb
0.3583 0.3583 0.7792 Tb
0.6417 0.0000 0.7792 Tb
0.6417 0.6417 0.2208 Tb
0.3333 0.6667 0.0000 Pr
0.6667 0.3333 0.0000 Pr
0.0000 0.0000 0.3950 Tm
0.0000 0.0000 0.6050 Tm
0.3333 0.6667 0.5000 Tm
0.6667 0.3333 0.5000 Tm



# 8
TbPr4Tm15 (PBE, relaxed); M_tot = 0.0000 μB per atom; DFT total energy = -4.512 eV per atom; crystal system = tetragonal
1.0
5.0119 0.0000 0.0000
0.0000 5.0119 0.0000
0.0000 0.0000 24.9299
Tb Pr Tm
1 4 15
direct
0.0000 0.0000 0.0000 Tb
0.0000 0.0000 0.1994 Pr
0.0000 0.0000 0.3996 Pr
0.0000 0.0000 0.6004 Pr
0.0000 0.0000 0.8006 Pr
0.0000 0.5000 0.0984 Tm
0.0000 0.5000 0.2994 Tm
0.0000 0.5000 0.5000 Tm
0.0000 0.5000 0.7006 Tm
0.0000 0.5000 0.9016 Tm
0.5000 0.0000 0.0984 Tm
0.5000 0.0000 0.2994 Tm
0.5000 0.0000 0.5000 Tm
0.5000 0.0000 0.7006 Tm
0.5000 0.0000 0.9016 Tm
0.5000 0.5000 0.0000 Tm
0.5000 0.5000 0.1988 Tm
0.5000 0.5000 0.3998 Tm
0.5000 0.5000 0.6002 Tm
0.5000 0.5000 0.8012 Tm



# 9
Tb7Pr2Tm (PBE, relaxed); M_tot = 0.0000 μB per atom; DFT total energy = -4.626 eV per atom; crystal system = triclinic
1.0
6.2011 0.0000 0.0000
-1.0380 6.1163 0.0000
-2.0658 -3.4793 8.5712
Tb Pr Tm
7 2 1
direct
0.0000 0.0000 0.0000 Tb
0.0981 0.1986 0.6985 Tb
0.2012 0.4017 0.4012 Tb
0.2991 0.5987 0.1009 Tb
0.7009 0.4013 0.8991 Tb
0.7988 0.5983 0.5988 Tb
0.9019 0.8014 0.3015 Tb
0.3993 0.8004 0.7984 Pr
0.6007 0.1996 0.2016 Pr
0.5000 0.0000 0.5000 Tm